This record from the Alexandria database describes a geometry-optimized LaAg structure. The functional is GGA-PBE.

Output
Its space group is P6_3/mmc. As for the density of states at the Fermi level: 2.8 states/eV per cell. The volume is 37.74 Å³ per atom.

a = 5.284 Å, b = 5.284 Å, c = 6.243 Å
α = 90.00°, β = 90.00°, γ = 120.00°
Fractional coordinates of all 4 atoms:
La 0.333 0.667 0.250
La 0.667 0.333 0.750
Ag 0.333 0.667 0.750
Ag 0.667 0.333 0.250

This record from the Alexandria database describes a geometry-optimized LaAg structure. The functional is GGA-PBE.

Output
Its space group is P6_3/mmc. As for the density of states at the Fermi level: 10.1 states/eV per cell. The volume is 29.14 Å³ per atom.

a = 8.918 Å, b = 8.918 Å, c = 5.077 Å
α = 90.00°, β = 90.00°, γ = 120.00°
Fractional coordinates of all 12 atoms:
La 0.177 0.353 0.250
La 0.177 0.823 0.250
La 0.353 0.177 0.750
La 0.647 0.823 0.250
La 0.823 0.177 0.750
La 0.823 0.647 0.750
Ag 0.118 0.559 0.750
Ag 0.441 0.559 0.750
Ag 0.441 0.882 0.750
Ag 0.559 0.118 0.250
Ag 0.559 0.441 0.250
Ag 0.882 0.441 0.250

This record from the Alexandria database describes a geometry-optimized LaAg structure. The functional is GGA-PBE.

Output
Its space group is Fd-3m. As for the density of states at the Fermi level: 0.9 states/eV per cell. The volume is 24.35 Å³ per atom.

a = 5.164 Å, b = 5.164 Å, c = 5.164 Å
α = 60.00°, β = 60.00°, γ = 60.00°
Fractional coordinates of all 4 atoms:
La 0.125 0.125 0.125
La 0.875 0.875 0.875
Ag 0.375 0.375 0.375
Ag 0.625 0.625 0.625

This record from the Alexandria database describes a geometry-optimized LaAg structure. The functional is GGA-PBE.

Output
Its space group is P6_3/mmc. As for the density of states at the Fermi level: 5.7 states/eV per cell. The volume is 26.90 Å³ per atom.

a = 4.928 Å, b = 4.928 Å, c = 10.234 Å
α = 90.00°, β = 90.00°, γ = 120.00°
Fractional coordinates of all 8 atoms:
La 0.333 0.667 0.091
La 0.333 0.667 0.409
La 0.667 0.333 0.591
La 0.667 0.333 0.909
Ag 0.000 0.000 0.250
Ag 0.000 0.000 0.750
Ag 0.333 0.667 0.750
Ag 0.667 0.333 0.250

no.,calculated total energy (Ry/atom),E_form (eV/atom)
1,-0.2724,0.183
2,-0.2970,-0.151
3,-0.2990,-0.179
4,-0.2951,-0.126